No. 1
5
Lattice="5.5127 0.0000 0.0000 0.0000 5.5127 0.0000 0.0000 0.0000 3.8536" Properties=species:S:1:pos:R:3 comment="TaTe2PdN | Alexandria | PBE | relaxed" de_polymorph_ev_per_atom=0.0000 space_group="P4/mmm (123)" pbc="T T T"
Ta 0.0000 0.0000 0.0000
Te 0.0000 2.7563 0.0000
Te 2.7563 0.0000 0.0000
Pd 2.7563 2.7563 1.9268
N 0.0000 0.0000 1.9268

No. 2
18
Lattice="1.6950 -6.6786 0.0000 1.6950 6.6786 0.0000 0.0000 0.0000 10.6823" Properties=species:S:1:pos:R:3 comment="Th2TaPdN5 | Alexandria | PBE | relaxed" space_group="Cmc2_1 (36)" pbc="T T T"
Th 1.6950 5.3484 5.3411
Th 1.6950 4.7685 1.3515
Th 1.6950 -4.7685 6.6927
Th 1.6950 -5.3484 0.0000
Ta 1.6950 3.9882 8.9447
Ta 1.6950 -3.9882 3.6035
Pd 1.6950 0.3679 2.9055
Pd 1.6950 -0.3679 8.2466
N 1.6950 5.8246 9.6446
N 1.6950 2.9860 5.0200
N 1.6950 2.4282 2.1666
N 1.6950 1.8184 8.7217
N 1.6950 0.1813 6.2557
N 1.6950 -0.1813 0.9145
N 1.6950 -1.8184 3.3806
N 1.6950 -2.4282 7.5077
N 1.6950 -2.9860 10.3611
N 1.6950 -5.8246 4.3034

For the records above, the corresponding energy relative to the elements, uncorrected values read 0.27, -0.95 eV per atom.
For the records above, the corresponding magnetic moment values read 0.000, 0.000 μB per formula unit.